VASP calculation (PBE-GGA) on a relaxed structure of Li2H4Rh.

Lattice parameters (Å, degrees): 4.8717 4.8717 4.6944 116.70 116.70 34.23
Sites, in units of the cell vectors:
1 Li 0.1715 0.1715 0.1621
2 Li 0.8285 0.8285 0.8379
3 H 0.1180 0.1180 0.5094
4 H 0.3869 0.3869 0.1025
5 H 0.6131 0.6131 0.8975
6 H 0.8820 0.8820 0.4906
7 Rh 0.5000 0.5000 0.5000

Values from the calculation:
polymorph energy (0 for the lowest one): 0.040 eV per atom
size of the total moment: 0.000 μB per formula unit
V: 7.90 Å³ per atom